(1)
Below is crystalline BiRh3S at its relaxed geometry, with properties calculated at the PBE level.

Summary:
Space-group type: Pm-3m (221)
Formation energy from raw total energies in eV per atom: 1.5309
E_tot in eV per atom: -4.482
Polymorph energy (0 for the lowest one) in meV per atom: 1506
Magnetization in μB/cell: 1.96

Lattice parameters (Å, degrees): 4.9894 4.9894 4.9894 90.00 90.00 90.00
Site moments in Bohr magnetons follow the coordinates.
Fractional positions:
Rh1 0.5000 0.0000 0.0000  0.45
Bi1 0.0000 0.0000 0.0000  -0.05
Rh2 0.0000 0.5000 0.0000  0.71
Rh3 0.0000 0.0000 0.5000  0.49
S1 0.5000 0.5000 0.5000  0.22

(2)
Below is crystalline SiBi2RhS at its relaxed geometry, with properties calculated at the PBE level.

Summary:
Space-group type: P4/mmm (123)
Formation energy from raw total energies in eV per atom: 0.2941
E_tot in eV per atom: -4.639
Magnetization in μB/cell: 0.00

Lattice parameters (Å, degrees): 5.4257 4.4292 5.4257 90.00 90.00 90.00
Fractional positions:
Bi1 0.5000 0.0000 0.0000
Bi2 0.0000 0.0000 0.5000
Si1 0.0000 0.5000 0.0000
Rh1 0.0000 0.0000 0.0000
S1 0.5000 0.5000 0.5000

(3)
Below is crystalline SrBiRhS2 at its relaxed geometry, with properties calculated at the PBE level.

Summary:
Space-group type: P4/mmm (123)
Formation energy from raw total energies in eV per atom: 0.6669
E_tot in eV per atom: -3.567
Magnetization in μB/cell: 0.82

Lattice parameters (Å, degrees): 5.4208 5.0089 5.4208 90.00 90.00 90.00
Site moments in Bohr magnetons follow the coordinates.
Fractional positions:
S1 0.5000 0.0000 0.0000  0.04
S2 0.0000 0.0000 0.5000  0.03
Bi1 0.5000 0.5000 0.5000  -0.05
Rh1 0.0000 0.5000 0.0000  0.72
Sr1 0.0000 0.0000 0.0000  0.00